No. 1
## CeAs2RhO8 (GGA-PBE)

Data for a geometry-optimized CeAs2RhO8 structure.

SG = P-3m1
total magnetization = 1.02 μB/f.u.

Geometry as POSCAR:
```
CeAs2RhO8
1.0
5.464 0.000 0.000
-2.732 4.732 0.000
0.000 0.000 6.840
Ce As Rh O
1 2 1 8
Direct
0.000 0.000 0.000 Ce
0.333 0.667 0.229 As
0.667 0.333 0.771 As
0.000 0.000 0.500 Rh
0.156 0.313 0.291 O
0.156 0.844 0.291 O
0.313 0.156 0.709 O
0.333 0.667 0.981 O
0.667 0.333 0.019 O
0.687 0.844 0.291 O
0.844 0.156 0.709 O
0.844 0.687 0.709 O
```


No. 2
## CeAsRuO (GGA-PBE)

Data for a geometry-optimized CeAsRuO structure.

SG = P4/nmm
total magnetization = 0.70 μB/f.u.

Geometry as POSCAR:
```
CeAsRuO
1.0
4.112 0.000 0.000
0.000 4.112 0.000
0.000 0.000 8.073
Ce As Ru O
2 2 2 2
Direct
0.250 0.250 0.145 Ce
0.750 0.750 0.855 Ce
0.250 0.250 0.661 As
0.750 0.750 0.339 As
0.250 0.750 0.500 Ru
0.750 0.250 0.500 Ru
0.250 0.750 0.000 O
0.750 0.250 0.000 O
```


No. 3
## Ce5Sb2AsO (GGA-PBE)

Data for a geometry-optimized Ce5Sb2AsO structure.

SG = P4/mmm
total magnetization = 3.41 μB/f.u.

Geometry as POSCAR:
```
Ce5Sb2AsO
1.0
4.611 0.000 0.000
0.000 4.611 0.000
0.000 0.000 11.389
Ce Sb As O
5 2 1 1
Direct
0.000 0.000 0.000 Ce
0.000 0.500 0.500 Ce
0.500 0.000 0.500 Ce
0.500 0.500 0.254 Ce
0.500 0.500 0.746 Ce
0.000 0.000 0.289 Sb
0.000 0.000 0.711 Sb
0.500 0.500 0.000 As
0.500 0.500 0.500 O
```


| no. | raw formation energy (kJ/mol of atoms) |
| --- | --- |
| 1 | -141.6 |
| 2 | -181.1 |
| 3 | -130.6 |